# Cs2HfBeBr6

Crystalline Cs2HfBeBr6 at its relaxed geometry (PBE, the Alexandria database).

Properties
formation energy (no corrections) = -1.1203 eV/atom
energy = -3.66 eV/atom
DOS at the Fermi energy = 0.00 states/eV/f.u.
symmetry = No. 225

Cell: 8.246 8.246 8.246 Å, 60.00 60.00 90.00°
Atoms (fractional coordinates):
1 Cs 0.750 0.250 0.500
2 Cs 0.250 0.750 0.500
3 Be 0.500 0.500 0.000
4 Hf 0.000 0.000 0.000
5 Br 0.226 0.226 0.548
6 Br 0.774 0.774 0.452
7 Br 0.226 0.226 0.000
8 Br 0.774 0.774 0.000
9 Br 0.774 0.226 0.000
10 Br 0.226 0.774 0.000